No. 1
Dy2Pd5Au2 PBE relaxed; formation energy = -0.603 eV/atom; uncorrected energy = -94.30 eV/cell; spin magnetization = 0.0 μB per cell
1.0
4.9250 0.0000 0.0000
0.0000 9.4828 0.0000
-2.4625 -4.7414 7.2336
Pd Dy Au
10 4 4
direct
0.7936 0.8585 0.0878
0.4008 0.9671 0.3033
0.4026 0.4671 0.3033
0.5974 0.1638 0.6967
0.5992 0.6638 0.6967
0.0008 0.5658 0.5000
0.2058 0.2707 0.9122
0.9992 0.0658 0.5000
0.2064 0.7707 0.9122
0.7942 0.3585 0.0878
0.0896 0.6920 0.2539
0.3358 0.9381 0.7461
0.6642 0.1920 0.2539
0.9104 0.4381 0.7461
0.2947 0.3157 0.5000
0.0000 0.0644 0.0000
0.7053 0.8157 0.5000
0.5000 0.5644 0.0000

---

No. 2
Dy2LuMg PBE relaxed; formation energy = 0.184 eV/atom; uncorrected energy = -14.58 eV/cell; E above lowest polymorph = 0.204 eV/atom; spin magnetization = 0.0 μB per cell
1.0
-3.1849 1.2217 0.0755
-2.6354 -2.0654 -0.6561
-2.7171 -3.0359 11.5991
Dy Mg Lu
2 1 1
direct
0.9100 0.9100 0.2699
0.0900 0.0900 0.7301
0.0000 0.0000 0.0000
0.5000 0.5000 0.5000

---

No. 3
Si2SnP PBE relaxed; uncorrected energy = -17.78 eV/cell; formation energy without anion corrections = 620 meV per atom; E above lowest polymorph = 0.378 eV/atom; spin magnetization = 0.0 μB per cell
1.0
0.0000 3.3049 3.3049
3.3049 0.0000 3.3049
3.3049 3.3049 0.0000
Si P Sn
2 1 1
direct
0.2500 0.2500 0.2500
0.7500 0.7500 0.7500
0.0000 0.0000 0.0000
0.5000 0.5000 0.5000